Density functional theory data (GGA-PBE) for crystalline Ta4NiGeN2 at its relaxed geometry.

```
8
Lattice="3.172 0.000 0.000 -1.586 2.747 0.000 0.000 0.000 12.514" Properties=species:S:1:pos:R:3 pbc="T T T"
Ta 0.000 0.000 1.903
Ta 0.000 0.000 10.611
Ta 1.586 0.916 4.258
Ta 1.586 0.916 8.256
Ni 1.586 0.916 0.000
Ge 0.000 0.000 6.257
N 0.000 1.832 3.066
N 0.000 1.832 9.448
```

Computed properties:
As for the raw total energy: -78.4 eV for the cell shown. As for the space group: P-6m2.